1.
A geometry-optimized BaAc3Au structure, computed with PBE.

Output
- spin magnetization (μB per formula unit) = 0.00
- calculated formation energy (eV/atom) = -0.168
- SG = Pm-3m (221)
- calculated total energy (eV per atom) = -3.6728

```
BaAc3Au
1.0
6.220 0.000 0.000
0.000 6.220 0.000
0.000 0.000 6.220
Ba Ac Au
1 3 1
Cartesian
0.000 0.000 0.000
0.000 3.110 3.110
3.110 0.000 3.110
3.110 3.110 0.000
3.110 3.110 3.110
```

***

2.
A geometry-optimized Ca3Sb2Pd7 structure, computed with PBE.

Output
- spin magnetization (μB per formula unit) = 0.00
- SG = Cmmm (65)
- formation energy without anion corrections (eV/atom) = -0.57
- calculated total energy (eV per atom) = -4.7817

```
Ca3Sb2Pd7
1.0
2.090 -14.923 0.000
2.090 14.923 0.000
0.000 0.000 4.155
Ca Sb Pd
3 2 7
Cartesian
0.000 0.000 0.000
2.090 8.759 0.000
2.090 -8.759 0.000
2.090 2.558 2.078
2.090 -2.558 2.078
2.090 10.761 2.078
2.090 6.341 2.078
2.090 4.159 0.000
2.090 0.000 2.078
2.090 -4.159 0.000
2.090 -6.341 2.078
2.090 -10.761 2.078
```

***

3.
A geometry-optimized ErZrAg structure, computed with PBE.

Output
- energy above the most stable polymorph in this dataset (meV/atom) = 130.1
- spin magnetization (μB per formula unit) = 0.00
- calculated formation energy (eV/atom) = 0.036
- SG = P-3m1 (164)
- calculated total energy (eV per atom) = -5.2848

```
ErZrAg
1.0
3.318 0.000 0.000
-1.659 2.873 0.000
0.000 0.000 14.933
Er Zr Ag
2 2 2
Cartesian
0.000 0.000 3.524
0.000 0.000 11.409
0.000 1.916 6.183
1.659 0.958 8.750
0.000 1.916 13.837
1.659 0.958 1.096
```

***

4.
A geometry-optimized BaRhSe2 structure, computed with PBE.

Output
- energy above the most stable polymorph in this dataset (meV/atom) = 36.1
- spin magnetization (μB per formula unit) = 0.00
- SG = Cmmm (65)
- formation energy without anion corrections (eV/atom) = -0.92
- calculated total energy (eV per atom) = -4.9824

```
BaRhSe2
1.0
6.417 0.000 0.000
0.000 8.250 0.000
0.000 0.000 3.940
Ba Rh Se
2 2 4
Cartesian
0.000 0.000 0.000
3.209 4.125 0.000
0.000 4.125 0.000
3.209 0.000 0.000
0.000 2.603 1.970
0.000 5.647 1.970
3.209 1.522 1.970
3.209 6.728 1.970
```

***

5.
A geometry-optimized Ac3AgB2Pt9 structure, computed with PBE.

Output
- spin magnetization (μB per formula unit) = 0.00
- calculated formation energy (eV/atom) = -0.638
- SG = P-3m1 (164)
- calculated total energy (eV per atom) = -6.1648

```
Ac3AgB2Pt9
1.0
6.878 0.000 0.000
-3.439 5.957 0.000
0.000 0.000 7.317
Ac Ag B Pt
3 1 2 9
Cartesian
0.000 0.000 0.000
0.000 3.971 4.830
3.439 1.986 2.487
0.000 0.000 3.659
0.000 3.971 0.955
3.439 1.986 6.362
-1.720 2.978 0.000
0.000 2.249 2.205
-1.491 4.832 2.205
1.948 1.125 5.113
3.439 0.000 0.000
1.720 2.978 0.000
1.491 4.832 2.205
4.930 1.125 5.113
3.439 3.707 5.113
```

***

6.
A geometry-optimized GaSeCl3 structure, computed with PBE.

Output
- energy above the most stable polymorph in this dataset (meV/atom) = 569.4
- spin magnetization (μB per formula unit) = 0.00
- SG = Pm-3m (221)
- formation energy without anion corrections (eV/atom) = -0.24
- calculated total energy (eV per atom) = -2.6510

```
GaSeCl3
1.0
5.192 0.000 0.000
0.000 5.192 0.000
0.000 0.000 5.192
Ga Se Cl
1 1 3
Cartesian
0.000 0.000 0.000
2.596 2.596 2.596
0.000 2.596 2.596
2.596 0.000 2.596
2.596 2.596 0.000
```

***

7.
A geometry-optimized SmY4Co structure, computed with PBE.

Output
- spin magnetization (μB per formula unit) = 0.60
- calculated formation energy (eV/atom) = 0.290
- SG = Pmmm (47)
- calculated total energy (eV per atom) = -5.9906

```
SmY4Co
1.0
4.671 0.000 0.000
0.000 4.691 0.000
0.000 0.000 8.982
Sm Y Co
1 4 1
Cartesian
0.000 0.000 0.000
0.000 2.345 2.882
0.000 2.345 6.100
2.336 0.000 2.884
2.336 0.000 6.098
2.336 2.345 4.491
```

***

8.
A geometry-optimized TlCuRe2 structure, computed with PBE.

Output
- energy above the most stable polymorph in this dataset (meV/atom) = 435.3
- spin magnetization (μB per formula unit) = 0.00
- calculated formation energy (eV/atom) = 0.891
- SG = R-3m (166)
- calculated total energy (eV per atom) = -6.9490

```
TlCuRe2
1.0
2.862 0.000 0.000
-1.431 2.479 0.000
0.000 0.000 27.527
Tl Cu Re
3 3 6
Cartesian
0.000 0.000 0.000
0.000 1.652 18.352
1.431 0.826 9.176
0.000 0.000 13.764
0.000 1.652 4.588
1.431 0.826 22.939
0.000 0.000 6.672
0.000 0.000 20.855
0.000 1.652 11.679
0.000 1.652 25.024
1.431 0.826 2.504
1.431 0.826 15.848
```

***

9.
A geometry-optimized LiAc2Ge4Ir3 structure, computed with PBE.

Output
- spin magnetization (μB per formula unit) = 0.00
- calculated formation energy (eV/atom) = -0.700
- SG = P-4m2 (115)
- calculated total energy (eV per atom) = -6.2180

```
LiAc2Ge4Ir3
1.0
4.460 0.000 0.000
0.000 4.460 0.000
0.000 0.000 10.092
Li Ac Ge Ir
1 2 4 3
Cartesian
0.000 0.000 0.000
0.000 2.230 7.541
2.230 0.000 2.550
0.000 0.000 5.046
0.000 2.230 1.280
2.230 0.000 8.811
2.230 2.230 5.046
0.000 2.230 3.791
2.230 0.000 6.300
2.230 2.230 0.000
```

***

10.
A geometry-optimized Cs3Cd5Pb2 structure, computed with PBE.

Output
- spin magnetization (μB per formula unit) = 0.00
- calculated formation energy (eV/atom) = -0.017
- SG = Ibam (72)
- calculated total energy (eV per atom) = -1.4724

```
Cs3Cd5Pb2
1.0
-5.623 8.482 4.004
5.623 -8.482 4.004
5.623 8.482 -4.004
Cs Cd Pb
6 10 4
Cartesian
8.402 2.102 0.000
0.000 0.000 2.002
2.779 6.380 0.000
2.845 2.102 4.004
0.000 0.000 6.006
-2.779 6.380 4.004
5.623 -4.143 2.002
4.529 2.077 0.000
5.623 0.000 2.002
4.529 -2.077 4.004
5.623 4.143 2.002
0.000 4.339 2.002
1.094 10.559 0.000
0.000 8.482 2.002
1.094 6.405 4.004
0.000 12.624 2.002
1.630 2.769 0.000
7.253 5.713 0.000
-1.630 2.769 4.004
3.994 5.713 4.004
```

***

11.
A geometry-optimized TaTcHIr2 structure, computed with PBE.

Output
- energy above the most stable polymorph in this dataset (meV/atom) = 0.0
- spin magnetization (μB per formula unit) = 0.00
- SG = P4/mmm (123)
- calculated total energy (eV per atom) = -9.0185

```
TaTcHIr2
1.0
3.948 0.000 0.000
0.000 3.948 0.000
0.000 0.000 4.034
Ta Tc H Ir
1 1 1 2
Cartesian
0.000 0.000 0.000
1.974 1.974 0.000
1.974 1.974 2.017
0.000 1.974 2.017
1.974 0.000 2.017
```

***

12.
A geometry-optimized Tl2Sb structure, computed with PBE.

Output
- energy above the most stable polymorph in this dataset (meV/atom) = 27.3
- spin magnetization (μB per formula unit) = 0.00
- SG = I4/mmm (139)
- formation energy without anion corrections (eV/atom) = 0.01
- calculated total energy (eV per atom) = -2.9439

```
Tl2Sb
1.0
3.431 0.000 0.000
0.000 3.431 0.000
0.000 0.000 16.171
Tl Sb
4 2
Cartesian
0.000 0.000 2.483
0.000 0.000 13.688
1.716 1.716 5.603
1.716 1.716 10.568
0.000 0.000 8.085
1.716 1.716 0.000
```